1.
A plane-wave DFT calculation with GGA-PBEsol was carried out for a relaxed structure of KLi2Zr.

- Volume: 223.14 Å³/cell
- Energy above the lowest structure with this stoichiometry: 122.4 meV/atom

Unit cell a=10.203 b=2.869 c=7.630 alpha=90.00 beta=92.29 gamma=90.00
Space group C2/m (No. 12)
One atom of each set of equivalent atoms:
K  0.000  0.000  0.000 [2 per cell]
Li  0.243  0.000  0.675 [4 per cell]
Zr  0.000  0.500  0.500 [2 per cell]


2.
A plane-wave DFT calculation with GGA-PBEsol was carried out for a relaxed structure of KLi2Zr.

- Volume: 210.95 Å³/cell
- Energy above the lowest structure with this stoichiometry: 0.0 meV/atom

Unit cell a=3.426 b=5.253 c=11.719 alpha=90.00 beta=90.00 gamma=90.00
Space group Cmmm (No. 65)
One atom of each set of equivalent atoms:
K  0.000  0.000  0.000 [2 per cell]
Li  0.000  0.500  0.283 [4 per cell]
Zr  0.000  0.000  0.500 [2 per cell]


DFT formation energy values (in eV/f.u.) by entry order: 2.17; 1.68.
D(E_F) values (in states/eV/f.u.) by entry order: 3.737; 3.997.